1.
## CdP2H4O8 (GGA-PBEsol)

Data for CdP2H4O8 after structural relaxation.

Calculated values
theoretical density: 2.9 g/cm3
size of the total moment: 0.00 μB per formula unit
total DFT energy (no corrections): -0.45186 Ry/atom
SG: R-3, No. 148

Cell lengths 10.1524, 10.1524, 10.1524 Å; angles 94.70, 94.70, 94.70 degrees
Last column: nearest neighbours and their distance in Å.
Positions (direct):
1 Cd 0.2778 0.8605 0.6566  6 O 2.21-2.47
2 Cd 0.6566 0.2778 0.8605  6 O 2.21-2.47
3 Cd 0.8605 0.6566 0.2778  6 O 2.21-2.47
4 Cd 0.7222 0.1395 0.3434  6 O 2.21-2.47
5 Cd 0.3434 0.7222 0.1395  6 O 2.21-2.47
6 Cd 0.1395 0.3434 0.7222  6 O 2.21-2.47
7 P 0.0218 0.2878 0.3975  4 O 1.50-1.61
8 P 0.3975 0.0218 0.2878  4 O 1.50-1.61
9 P 0.2878 0.3975 0.0218  4 O 1.50-1.61
10 P 0.9782 0.7122 0.6025  4 O 1.50-1.61
11 P 0.6025 0.9782 0.7122  4 O 1.50-1.61
12 P 0.7122 0.6025 0.9782  4 O 1.50-1.61
13 P 0.1074 0.4841 0.2191  4 O 1.50-1.61
14 P 0.2191 0.1074 0.4841  4 O 1.50-1.61
15 P 0.4841 0.2191 0.1074  4 O 1.50-1.61
16 P 0.8926 0.5159 0.7809  4 O 1.50-1.61
17 P 0.7809 0.8926 0.5159  4 O 1.50-1.61
18 P 0.5159 0.7809 0.8926  4 O 1.50-1.61
19 H 0.3405 0.5708 0.7562  1 O 1.00
20 H 0.7562 0.3405 0.5708  1 O 1.00
21 H 0.5708 0.7562 0.3405  1 O 1.00
22 H 0.6595 0.4292 0.2438  1 O 1.00
23 H 0.2438 0.6595 0.4292  1 O 1.00
24 H 0.4292 0.2438 0.6595  1 O 1.00
25 H 0.6033 0.3151 0.5510  1 O 1.01
26 H 0.5510 0.6033 0.3151  1 O 1.01
27 H 0.3151 0.5510 0.6033  1 O 1.01
28 H 0.3967 0.6849 0.4490  1 O 1.01
29 H 0.4490 0.3967 0.6849  1 O 1.01
30 H 0.6849 0.4490 0.3967  1 O 1.01
31 H 0.0713 0.8757 0.2806  1 O 0.99
32 H 0.2806 0.0713 0.8757  1 O 0.99
33 H 0.8757 0.2806 0.0713  1 O 0.99
34 H 0.9287 0.1243 0.7194  1 O 0.99
35 H 0.7194 0.9287 0.1243  1 O 0.99
36 H 0.1243 0.7194 0.9287  1 O 0.99
37 H 0.9520 0.1771 0.8700  1 O 1.00
38 H 0.8700 0.9520 0.1771  1 O 1.00
39 H 0.1771 0.8700 0.9520  1 O 1.00
40 H 0.0480 0.8229 0.1300  1 O 1.00
41 H 0.1300 0.0480 0.8229  1 O 1.00
42 H 0.8229 0.1300 0.0480  1 O 1.00
43 O 0.2572 0.2984 0.9037  1 P 1.50
44 O 0.9037 0.2572 0.2984  1 P 1.50
45 O 0.2984 0.9037 0.2572  1 P 1.50
46 O 0.7428 0.7016 0.0963  1 P 1.50
47 O 0.0963 0.7428 0.7016  1 P 1.50
48 O 0.7016 0.0963 0.7428  1 P 1.50
49 O 0.6711 0.4613 0.9990  1 P 1.50
50 O 0.9990 0.6711 0.4613  1 P 1.50
51 O 0.4613 0.9990 0.6711  1 P 1.50
52 O 0.3289 0.5387 0.0010  1 P 1.50
53 O 0.0010 0.3289 0.5387  1 P 1.50
54 O 0.5387 0.0010 0.3289  1 P 1.50
55 O 0.6068 0.2554 0.2003  1 P 1.50
56 O 0.2003 0.6068 0.2554  1 P 1.50
57 O 0.2554 0.2003 0.6068  1 P 1.50
58 O 0.3932 0.7446 0.7997  1 P 1.50
59 O 0.7997 0.3932 0.7446  1 P 1.50
60 O 0.7446 0.7997 0.3932  1 P 1.50
61 O 0.4975 0.1754 0.9648  1 P 1.50
62 O 0.9648 0.4975 0.1754  1 P 1.50
63 O 0.1754 0.9648 0.4975  1 P 1.50
64 O 0.5025 0.8246 0.0352  1 P 1.50
65 O 0.0352 0.5025 0.8246  1 P 1.50
66 O 0.8246 0.0352 0.5025  1 P 1.50
67 O 0.3458 0.1220 0.3994  2 P 1.61
68 O 0.3994 0.3458 0.1220  2 P 1.61
69 O 0.1220 0.3994 0.3458  2 P 1.61
70 O 0.6542 0.8780 0.6006  2 P 1.61
71 O 0.6006 0.6542 0.8780  2 P 1.61
72 O 0.8780 0.6006 0.6542  2 P 1.61
73 O 0.1068 0.1610 0.3871  2 P 1.60-1.61
74 O 0.3871 0.1068 0.1610  2 P 1.60-1.61
75 O 0.1610 0.3871 0.1068  2 P 1.60-1.61
76 O 0.8932 0.8390 0.6129  2 P 1.60-1.61
77 O 0.6129 0.8932 0.8390  2 P 1.60-1.61
78 O 0.8390 0.6129 0.8932  2 P 1.60-1.61
79 O 0.6832 0.3218 0.4980  2 H 1.00-1.01
80 O 0.4980 0.6832 0.3218  2 H 1.00-1.01
81 O 0.3218 0.4980 0.6832  2 H 1.00-1.01
82 O 0.3168 0.6782 0.5020  2 H 1.00-1.01
83 O 0.5020 0.3168 0.6782  2 H 1.00-1.01
84 O 0.6782 0.5020 0.3168  2 H 1.00-1.01
85 O 0.1541 0.7899 0.0002  2 H 0.99-1.00
86 O 0.0002 0.1541 0.7899  2 H 0.99-1.00
87 O 0.7899 0.0002 0.1541  2 H 0.99-1.00
88 O 0.8459 0.2101 0.9998  2 H 0.99-1.00
89 O 0.9998 0.8459 0.2101  2 H 0.99-1.00
90 O 0.2101 0.9998 0.8459  2 H 0.99-1.00

2.
## LiTlCdIn2 (GGA-PBEsol)

Data for LiTlCdIn2 after structural relaxation.

Calculated values
theoretical density: 7.2 g/cm3
formation enthalpy at 0 K: 182 meV/atom
size of the total moment: 0.00 μB per formula unit
total DFT energy (no corrections): -0.15949 Ry/atom
SG: P4/mmm, No. 123

Cell lengths 5.0282, 5.0282, 5.0197 Å; angles 90.00, 90.00, 90.00 degrees
Last column: nearest neighbours and their distance in Å.
Positions (direct):
1 Tl 0.0000 0.0000 0.5000  2 Li 2.51
2 Cd 0.5000 0.5000 0.5000  8 In 3.55, 4 Tl 3.56
3 Li 0.0000 0.0000 0.0000  2 Tl 2.51, 4 In 2.51
4 In 0.0000 0.5000 0.0000  2 Li 2.51
5 In 0.5000 0.0000 0.0000  2 Li 2.51

3.
## Li3MoAs (GGA-PBEsol)

Data for Li3MoAs after structural relaxation.

Calculated values
theoretical density: 2.8 g/cm3
formation enthalpy at 0 K: 1384 meV/atom
size of the total moment: 4.81 μB per formula unit
total DFT energy (no corrections): -0.23307 Ry/atom
SG: Pm-3m, No. 221

Cell lengths 4.8353, 4.8353, 4.8353 Å; angles 90.00, 90.00, 90.00 degrees
Last column: nearest neighbours and their distance in Å.
Positions (direct):
1 Mo 0.0000 0.0000 0.0000  6 Li 2.42
2 As 0.5000 0.5000 0.5000  12 Li 3.42
3 Li 0.0000 0.5000 0.0000  2 Mo 2.42
4 Li 0.0000 0.0000 0.5000  2 Mo 2.42
5 Li 0.5000 0.0000 0.0000  2 Mo 2.42

4.
## GaSn3 (GGA-PBEsol)

Data for GaSn3 after structural relaxation.

Calculated values
theoretical density: 7.3 g/cm3
formation enthalpy at 0 K: 51 meV/atom
size of the total moment: 0.00 μB per formula unit
total DFT energy (no corrections): -0.29244 Ry/atom
SG: Fm-3m, No. 225

Cell lengths 5.1557, 5.1557, 5.1557 Å; angles 60.00, 60.00, 60.00 degrees
Last column: nearest neighbours and their distance in Å.
Positions (direct):
1 Sn 0.7500 0.7500 0.7500  4 Sn 3.16, 4 Ga 3.16
2 Sn 0.2500 0.2500 0.2500  4 Sn 3.16, 4 Ga 3.16
3 Sn 0.5000 0.5000 0.5000  8 Sn 3.16
4 Ga 0.0000 0.0000 0.0000  8 Sn 3.16